## K2ErMoO6 (PBE with a Hubbard U)

Data for a relaxed K2ErMoO6 crystal.

E (eV per atom): -6.372
Fermi-level density of states (states/eV/atom): 0.53

The structure in CIF format:
```
data_K2ErMoO6
_chemical_formula_sum 'K12 Er6 Mo6 O36'
_cell_length_a 6.1313
_cell_length_b 6.1313
_cell_length_c 30.1564
_cell_angle_alpha 90.00
_cell_angle_beta 90.00
_cell_angle_gamma 120.00
_symmetry_space_group_name_H-M 'R -3 m'
_symmetry_Int_Tables_number 166
_symmetry_space_group_name_Hall '-R 3 2"'
loop_
_atom_site_label
_atom_site_fract_x
_atom_site_fract_y
_atom_site_fract_z
K1 0.0000 0.0000 0.1358
K2 0.0000 0.0000 0.2711
Er1 0.0000 0.0000 0.4019
Mo1 0.0000 0.0000 0.0000
Mo2 0.0000 0.0000 0.5000
O1 0.0335 0.5168 0.7036
O2 0.0452 0.5226 0.1268
```